A | ! PBE-GGA BaTi3Ni, relaxed; values from VASP
&SYSTEM
  ibrav = 0, nat = 5, ntyp = 3
/
ATOMIC_SPECIES
Ba 137.33 Ba.upf
Ti 47.87 Ti.upf
Ni 58.69 Ni.upf
CELL_PARAMETERS angstrom
4.9184 0.0000 0.0000
0.0000 4.9184 0.0000
0.0000 0.0000 4.9184
ATOMIC_POSITIONS crystal
Ba 0.0000 0.0000 0.0000
Ti 0.0000 0.0000 0.5000
Ti 0.0000 0.5000 0.0000
Ti 0.5000 0.0000 0.0000
Ni 0.5000 0.5000 0.5000
! ρ: 4740 kg/m3



B | ! PBE-GGA BaTi3Ni, relaxed; values from VASP
&SYSTEM
  ibrav = 0, nat = 5, ntyp = 3
/
ATOMIC_SPECIES
Ba 137.33 Ba.upf
Ti 47.87 Ti.upf
Ni 58.69 Ni.upf
CELL_PARAMETERS angstrom
4.7983 0.0000 0.0000
0.0000 4.7983 0.0000
0.0000 0.0000 4.7983
ATOMIC_POSITIONS crystal
Ba 0.0000 0.0000 0.0000
Ti 0.0000 0.5000 0.5000
Ti 0.5000 0.0000 0.5000
Ti 0.5000 0.5000 0.0000
Ni 0.5000 0.5000 0.5000
! ρ: 5105 kg/m3



Short version: B is the most stable of them.



A | ! PBE-GGA BaTlNi, relaxed; values from VASP
&SYSTEM
  ibrav = 0, nat = 3, ntyp = 3
/
ATOMIC_SPECIES
Ba 137.33 Ba.upf
Tl 204.38 Tl.upf
Ni 58.69 Ni.upf
CELL_PARAMETERS angstrom
4.6397 0.0000 0.0000
-2.3199 4.0181 0.0000
0.0000 0.0000 4.7998
ATOMIC_POSITIONS crystal
Ba 0.0000 0.0000 0.0000
Tl 0.3333 0.6667 0.4999
Ni 0.6667 0.3333 0.4989
! ρ: 7430 kg/m3



B | ! PBE-GGA BaTlNi, relaxed; values from VASP
&SYSTEM
  ibrav = 0, nat = 3, ntyp = 3
/
ATOMIC_SPECIES
Ba 137.33 Ba.upf
Tl 204.38 Tl.upf
Ni 58.69 Ni.upf
CELL_PARAMETERS angstrom
-1.8233 1.8233 6.0229
1.8233 -1.8233 6.0229
1.8233 1.8233 -6.0229
ATOMIC_POSITIONS crystal
Ba 0.0000 0.0000 0.0000
Tl 0.7188 0.7188 0.0000
Ni 0.3095 0.3095 0.0000
! ρ: 8302 kg/m3



C | ! PBE-GGA BaTlNi, relaxed; values from VASP
&SYSTEM
  ibrav = 0, nat = 3, ntyp = 3
/
ATOMIC_SPECIES
Ba 137.33 Ba.upf
Tl 204.38 Tl.upf
Ni 58.69 Ni.upf
CELL_PARAMETERS angstrom
0.0000 3.5680 3.5680
3.5680 0.0000 3.5680
3.5680 3.5680 0.0000
ATOMIC_POSITIONS crystal
Ba 0.0000 0.0000 0.0000
Tl 0.5000 0.5000 0.5000
Ni 0.7500 0.7500 0.7500
! ρ: 7319 kg/m3



Short version: A is the most stable of them.



A | ! PBE-GGA BaTl2Ni2, relaxed; values from VASP
&SYSTEM
  ibrav = 0, nat = 5, ntyp = 3
/
ATOMIC_SPECIES
Ba 137.33 Ba.upf
Tl 204.38 Tl.upf
Ni 58.69 Ni.upf
CELL_PARAMETERS angstrom
-2.4069 2.4069 5.3549
2.4069 -2.4069 5.3549
2.4069 2.4069 -5.3549
ATOMIC_POSITIONS crystal
Ba 0.0000 0.0000 0.0000
Tl 0.3488 0.3488 0.0000
Tl 0.6512 0.6512 0.0000
Ni 0.2500 0.7500 0.5000
Ni 0.7500 0.2500 0.5000
! ρ: 8879 kg/m3



B | ! PBE-GGA BaTl2Ni2, relaxed; values from VASP
&SYSTEM
  ibrav = 0, nat = 10, ntyp = 3
/
ATOMIC_SPECIES
Ba 137.33 Ba.upf
Tl 204.38 Tl.upf
Ni 58.69 Ni.upf
CELL_PARAMETERS angstrom
7.8706 0.0000 0.0000
0.0000 7.8706 0.0000
0.0000 0.0000 3.8754
ATOMIC_POSITIONS crystal
Ba 0.0000 0.0000 0.0000
Ba 0.5000 0.5000 0.0000
Tl 0.1491 0.3509 0.5000
Tl 0.3509 0.8509 0.5000
Tl 0.6491 0.1491 0.5000
Tl 0.8509 0.6491 0.5000
Ni 0.1084 0.6084 0.0000
Ni 0.3916 0.1084 0.0000
Ni 0.6084 0.8916 0.0000
Ni 0.8916 0.3916 0.0000
! ρ: 9178 kg/m3



C | ! PBE-GGA BaTl2Ni2, relaxed; values from VASP
&SYSTEM
  ibrav = 0, nat = 5, ntyp = 3
/
ATOMIC_SPECIES
Ba 137.33 Ba.upf
Tl 204.38 Tl.upf
Ni 58.69 Ni.upf
CELL_PARAMETERS angstrom
-2.3245 2.3245 5.5637
2.3245 -2.3245 5.5637
2.3245 2.3245 -5.5637
ATOMIC_POSITIONS crystal
Ba 0.0000 0.0000 0.0000
Tl 0.2500 0.7500 0.5000
Tl 0.7500 0.2500 0.5000
Ni 0.3936 0.3936 0.0000
Ni 0.6064 0.6064 0.0000
! ρ: 9162 kg/m3



Short version: A is the most stable of them.



A | ! PBE-GGA BaV3Ni, relaxed; values from VASP
&SYSTEM
  ibrav = 0, nat = 5, ntyp = 3
/
ATOMIC_SPECIES
Ba 137.33 Ba.upf
V 50.94 V.upf
Ni 58.69 Ni.upf
CELL_PARAMETERS angstrom
4.7546 0.0000 0.0000
0.0000 4.7546 0.0000
0.0000 0.0000 4.7546
ATOMIC_POSITIONS crystal
Ba 0.0000 0.0000 0.0000
V 0.0000 0.5000 0.5000
V 0.5000 0.0000 0.5000
V 0.5000 0.5000 0.0000
Ni 0.5000 0.5000 0.5000
! ρ: 5389 kg/m3



B | ! PBE-GGA BaV3Ni, relaxed; values from VASP
&SYSTEM
  ibrav = 0, nat = 5, ntyp = 3
/
ATOMIC_SPECIES
Ba 137.33 Ba.upf
V 50.94 V.upf
Ni 58.69 Ni.upf
CELL_PARAMETERS angstrom
4.7251 0.0000 0.0000
0.0000 4.7251 0.0000
0.0000 0.0000 4.7251
ATOMIC_POSITIONS crystal
Ba 0.0000 0.0000 0.0000
V 0.0000 0.0000 0.5000
V 0.0000 0.5000 0.0000
V 0.5000 0.0000 0.0000
Ni 0.5000 0.5000 0.5000
! ρ: 5491 kg/m3



Short version: A is the most stable of them.



A | ! PBE-GGA BaVNi3, relaxed; values from VASP
&SYSTEM
  ibrav = 0, nat = 5, ntyp = 3
/
ATOMIC_SPECIES
Ba 137.33 Ba.upf
V 50.94 V.upf
Ni 58.69 Ni.upf
CELL_PARAMETERS angstrom
4.6228 0.0000 0.0000
0.0000 4.6228 0.0000
0.0000 0.0000 4.6228
ATOMIC_POSITIONS crystal
Ba 0.0000 0.0000 0.0000
V 0.5000 0.5000 0.5000
Ni 0.0000 0.5000 0.5000
Ni 0.5000 0.0000 0.5000
Ni 0.5000 0.5000 0.0000
! ρ: 6124 kg/m3



B | ! PBE-GGA BaVNi3, relaxed; values from VASP
&SYSTEM
  ibrav = 0, nat = 5, ntyp = 3
/
ATOMIC_SPECIES
Ba 137.33 Ba.upf
V 50.94 V.upf
Ni 58.69 Ni.upf
CELL_PARAMETERS angstrom
4.8646 0.0000 0.0000
0.0000 4.8646 0.0000
0.0000 0.0000 4.8646
ATOMIC_POSITIONS crystal
Ba 0.0000 0.0000 0.0000
V 0.5000 0.5000 0.5000
Ni 0.0000 0.0000 0.5000
Ni 0.0000 0.5000 0.0000
Ni 0.5000 0.0000 0.0000
! ρ: 5256 kg/m3



Short version: A is the most stable of them.



A | ! PBE-GGA BaVNi2, relaxed; values from VASP
&SYSTEM
  ibrav = 0, nat = 4, ntyp = 3
/
ATOMIC_SPECIES
Ba 137.33 Ba.upf
V 50.94 V.upf
Ni 58.69 Ni.upf
CELL_PARAMETERS angstrom
0.0000 3.3836 3.3836
3.3836 0.0000 3.3836
3.3836 3.3836 0.0000
ATOMIC_POSITIONS crystal
Ba 0.0000 0.0000 0.0000
V 0.5000 0.5000 0.5000
Ni 0.2500 0.2500 0.2500
Ni 0.7500 0.7500 0.7500
! ρ: 6551 kg/m3



B | ! PBE-GGA BaVNi2, relaxed; values from VASP
&SYSTEM
  ibrav = 0, nat = 8, ntyp = 3
/
ATOMIC_SPECIES
Ba 137.33 Ba.upf
V 50.94 V.upf
Ni 58.69 Ni.upf
CELL_PARAMETERS angstrom
-2.5037 2.5037 7.6440
2.5037 -2.5037 7.6440
2.5037 2.5037 -7.6440
ATOMIC_POSITIONS crystal
Ba 0.3750 0.6250 0.7500
Ba 0.6250 0.3750 0.2500
V 0.1250 0.8750 0.2500
V 0.8750 0.1250 0.7500
Ni 0.0000 0.0000 0.0000
Ni 0.0000 0.0000 0.5000
Ni 0.0000 0.5000 0.0000
Ni 0.5000 0.0000 0.5000
! ρ: 5296 kg/m3



Short version: B is the most stable of them.



A | ! PBE-GGA BaV2Ni2, relaxed; values from VASP
&SYSTEM
  ibrav = 0, nat = 10, ntyp = 3
/
ATOMIC_SPECIES
Ba 137.33 Ba.upf
V 50.94 V.upf
Ni 58.69 Ni.upf
CELL_PARAMETERS angstrom
7.8466 0.0000 0.0000
0.0000 7.8466 0.0000
0.0000 0.0000 2.8479
ATOMIC_POSITIONS crystal
Ba 0.0000 0.0000 0.0000
Ba 0.5000 0.5000 0.0000
V 0.1065 0.3935 0.5000
V 0.3935 0.8935 0.5000
V 0.6065 0.1065 0.5000
V 0.8935 0.6065 0.5000
Ni 0.1707 0.6707 0.0000
Ni 0.3293 0.1707 0.0000
Ni 0.6707 0.8293 0.0000
Ni 0.8293 0.3293 0.0000
! ρ: 6754 kg/m3



B | ! PBE-GGA BaV2Ni2, relaxed; values from VASP
&SYSTEM
  ibrav = 0, nat = 5, ntyp = 3
/
ATOMIC_SPECIES
Ba 137.33 Ba.upf
V 50.94 V.upf
Ni 58.69 Ni.upf
CELL_PARAMETERS angstrom
-1.9984 1.9984 6.3628
1.9984 -1.9984 6.3628
1.9984 1.9984 -6.3628
ATOMIC_POSITIONS crystal
Ba 0.0000 0.0000 0.0000
V 0.2500 0.7500 0.5000
V 0.7500 0.2500 0.5000
Ni 0.3544 0.3544 0.0000
Ni 0.6456 0.6456 0.0000
! ρ: 5825 kg/m3



Short version: B is the most stable of them.



A | ! PBE-GGA BaNiW2, relaxed; values from VASP
&SYSTEM
  ibrav = 0, nat = 4, ntyp = 3
/
ATOMIC_SPECIES
Ba 137.33 Ba.upf
Ni 58.69 Ni.upf
W 183.84 W.upf
CELL_PARAMETERS angstrom
-1.9337 1.9337 5.5419
1.9337 -1.9337 5.5419
1.9337 1.9337 -5.5419
ATOMIC_POSITIONS crystal
Ba 0.0000 0.0000 0.0000
Ni 0.5000 0.5000 0.0000
W 0.2500 0.7500 0.5000
W 0.7500 0.2500 0.5000
! ρ: 11293 kg/m3



B | ! PBE-GGA BaNiW2, relaxed; values from VASP
&SYSTEM
  ibrav = 0, nat = 4, ntyp = 3
/
ATOMIC_SPECIES
Ba 137.33 Ba.upf
Ni 58.69 Ni.upf
W 183.84 W.upf
CELL_PARAMETERS angstrom
4.5707 -1.5883 0.0000
4.5707 1.5883 0.0000
-1.3540 0.0000 6.4617
ATOMIC_POSITIONS crystal
Ba 0.0000 0.0000 0.0000
Ni 0.7650 0.7650 0.3267
W 0.1980 0.1980 0.5832
W 0.4799 0.4799 0.4956
! ρ: 9977 kg/m3



Short version: B is the most stable of them.